EuTmCd2: relaxed, PBE-GGA.

E_tot ... -0.3283 Ry/atom
E_form ... -322.6 meV per atom

```
data_EuTmCd2
_chemical_formula_sum 'Eu1 Tm1 Cd2'
_cell_length_a 3.7978
_cell_length_b 3.7978
_cell_length_c 7.6815
_cell_angle_alpha 90.00
_cell_angle_beta 90.00
_cell_angle_gamma 90.00
_space_group_name_H-M_alt 'P 4/m m m'
_space_group_IT_number 123
_space_group_name_Hall '-P 4 2'
loop_
_atom_site_label
_atom_site_type_symbol
_atom_site_fract_x
_atom_site_fract_y
_atom_site_fract_z
Eu1 Eu 0.0000 0.0000 0.0000
Tm1 Tm 0.0000 0.0000 0.5000
Cd1 Cd 0.5000 0.5000 0.2769
```

Eu2TmCd: relaxed, PBE-GGA.

E_tot ... -0.4785 Ry/atom
Energy relative to the lowest polymorph listed for this composition ... 0.21 eV per formula unit
E_form ... -26.0 meV per atom

```
data_Eu2TmCd
_chemical_formula_sum 'Eu2 Tm1 Cd1'
_cell_length_a 5.0139
_cell_length_b 5.0139
_cell_length_c 5.0393
_cell_angle_alpha 90.00
_cell_angle_beta 90.00
_cell_angle_gamma 90.00
_space_group_name_H-M_alt 'P 4/m m m'
_space_group_IT_number 123
_space_group_name_Hall '-P 4 2'
loop_
_atom_site_label
_atom_site_type_symbol
_atom_site_fract_x
_atom_site_fract_y
_atom_site_fract_z
Eu1 Eu 0.0000 0.5000 0.0000
Tm1 Tm 0.0000 0.0000 0.5000
Cd1 Cd 0.5000 0.5000 0.5000
```

The lowest E_form belongs to which entry?
EuTmCd2

Please write out number 1 again, unchanged.
EuTmCd2: relaxed, PBE-GGA.

E_tot ... -0.3283 Ry/atom
E_form ... -322.6 meV per atom

```
data_EuTmCd2
_chemical_formula_sum 'Eu1 Tm1 Cd2'
_cell_length_a 3.7978
_cell_length_b 3.7978
_cell_length_c 7.6815
_cell_angle_alpha 90.00
_cell_angle_beta 90.00
_cell_angle_gamma 90.00
_space_group_name_H-M_alt 'P 4/m m m'
_space_group_IT_number 123
_space_group_name_Hall '-P 4 2'
loop_
_atom_site_label
_atom_site_type_symbol
_atom_site_fract_x
_atom_site_fract_y
_atom_site_fract_z
Eu1 Eu 0.0000 0.0000 0.0000
Tm1 Tm 0.0000 0.0000 0.5000
Cd1 Cd 0.5000 0.5000 0.2769
```